Record 1
Below is crystalline TlIr2Br at its relaxed geometry, with properties calculated at the PBE level.

excess energy over the best structure of this formula in the dataset = 0 meV per atom
E_tot = -0.3703 Ry/atom
symmetry = Pm
DOS at the Fermi energy = 4.082 states/eV/cell

a b c (Å): 2.8937 3.6320 8.7443
angles (deg): 90.00 97.42 90.00
Atoms (fractional coordinates):
1 Tl 0.0000 0.0000 0.0000
2 Ir 0.3972 0.5000 0.7425
3 Ir 0.8465 0.0000 0.6130
4 Br 0.7547 0.5000 0.3779

Record 2
Below is crystalline TlIrBr2 at its relaxed geometry, with properties calculated at the PBE level.

excess energy over the best structure of this formula in the dataset = 0 meV per atom
E_tot = -0.2726 Ry/atom
symmetry = Cmmm
DOS at the Fermi energy = 1.567 states/eV/cell

a b c (Å): 6.8937 6.8937 3.7491
angles (deg): 90.00 90.00 132.21
Atoms (fractional coordinates):
1 Tl 0.0000 0.0000 0.0000
2 Ir 0.5000 0.5000 0.0000
3 Br 0.3663 0.6337 0.5000
4 Br 0.6337 0.3663 0.5000

Record 3
Below is crystalline Tl2IrBr at its relaxed geometry, with properties calculated at the PBE level.

excess energy over the best structure of this formula in the dataset = 470 meV per atom
E_tot = -0.2337 Ry/atom
symmetry = F-43m
DOS at the Fermi energy = 0.490 states/eV/cell

a b c (Å): 5.1077 5.1077 5.1077
angles (deg): 60.00 60.00 60.00
Atoms (fractional coordinates):
1 Tl 0.0000 0.0000 0.0000
2 Tl 0.2500 0.2500 0.2500
3 Ir 0.7500 0.7500 0.7500
4 Br 0.5000 0.5000 0.5000

Record 4
Below is crystalline TlIrBr at its relaxed geometry, with properties calculated at the PBE level.

excess energy over the best structure of this formula in the dataset = 143 meV per atom
E_tot = -0.2711 Ry/atom
symmetry = P3m1
DOS at the Fermi energy = 3.832 states/eV/cell

a b c (Å): 4.0443 4.0443 5.5014
angles (deg): 90.00 90.00 120.00
Atoms (fractional coordinates):
1 Tl 0.0000 0.0000 0.0000
2 Ir 0.3333 0.6667 0.7494
3 Br 0.6667 0.3333 0.5117

Record 5
Below is crystalline TlIrBr2 at its relaxed geometry, with properties calculated at the PBE level.

excess energy over the best structure of this formula in the dataset = 751 meV per atom
E_tot = -0.2174 Ry/atom
symmetry = P4/mmm
DOS at the Fermi energy = 2.698 states/eV/cell

a b c (Å): 5.2196 5.2196 3.4186
angles (deg): 90.00 90.00 90.00
Atoms (fractional coordinates):
1 Tl 0.0000 0.0000 0.0000
2 Ir 0.5000 0.5000 0.0000
3 Br 0.0000 0.5000 0.5000
4 Br 0.5000 0.0000 0.5000

Record 6
Below is crystalline TlIr2Br at its relaxed geometry, with properties calculated at the PBE level.

excess energy over the best structure of this formula in the dataset = 696 meV per atom
E_tot = -0.3191 Ry/atom
symmetry = I4/mmm
DOS at the Fermi energy = 4.830 states/eV/cell

a b c (Å): 4.9201 4.9201 4.9201
angles (deg): 127.33 127.33 77.71
Atoms (fractional coordinates):
1 Tl 0.0000 0.0000 0.0000
2 Ir 0.2500 0.7500 0.5000
3 Ir 0.7500 0.2500 0.5000
4 Br 0.5000 0.5000 0.0000

Record 7
Below is crystalline Tl4IrBr at its relaxed geometry, with properties calculated at the PBE level.

E_tot = -0.1965 Ry/atom
symmetry = F-43m
DOS at the Fermi energy = 6.640 states/eV/cell

a b c (Å): 6.2579 6.2579 6.2579
angles (deg): 60.00 60.00 60.00
Atoms (fractional coordinates):
1 Tl 0.1254 0.1254 0.1254
2 Tl 0.1254 0.1254 0.6238
3 Tl 0.1254 0.6238 0.1254
4 Tl 0.6238 0.1254 0.1254
5 Ir 0.5000 0.5000 0.5000
6 Br 0.7500 0.7500 0.7500

Record 8
Below is crystalline Tl2IrBr at its relaxed geometry, with properties calculated at the PBE level.

excess energy over the best structure of this formula in the dataset = 187 meV per atom
E_tot = -0.2545 Ry/atom
symmetry = Immm
DOS at the Fermi energy = 2.424 states/eV/cell

a b c (Å): 7.5336 7.5336 7.5336
angles (deg): 155.52 144.28 43.79
Atoms (fractional coordinates):
1 Tl 0.1743 0.1743 0.0000
2 Tl 0.8257 0.8257 0.0000
3 Ir 0.0000 0.5000 0.5000
4 Br 0.5000 0.0000 0.5000

| no. | E_form (uncorrected) (eV/atom) |
| --- | --- |
| 1 | 0.403 |
| 2 | -0.066 |
| 3 | 0.637 |
| 4 | 0.611 |
| 5 | 0.685 |
| 6 | 1.099 |
| 7 | 0.660 |
| 8 | 0.354 |